The following is a meta-GGA SCAN calculation of a crystal of SrSm3 relaxed with PBEsol, from Alexandria via LeMat-Bulk.

Calculated values
Energy relative to the elements (meV/atom): 204
Uncorrected energy (eV per atom): -38.697
Calculated volume (Å³ per cell): 138.2

a b c (Å): 5.1700 5.1700 5.1700
angles (deg): 90.00 90.00 90.00
Last column: nearest neighbours and their distance in Å.
Fractional positions:
Sr (0.0000, 0.0000, 0.0000)  12 Sm 3.66
Sm (0.5000, 0.0000, 0.5000)  8 Sm 3.66, 4 Sr 3.66
Sm (0.5000, 0.5000, 0.0000)  8 Sm 3.66, 4 Sr 3.66
Sm (0.0000, 0.5000, 0.5000)  8 Sm 3.66, 4 Sr 3.66